Entry 1:
Here is a PBEsol-optimized structure of Ca3Cu2Cl2O4 from Alexandria via LeMat-Bulk. Energies are from SCAN.

```
data_Ca3Cu2Cl2O4
_chemical_formula_sum 'Ca6 Cu4 Cl4 O8'
_symmetry_space_group_name_H-M 'I 4/m m m'
_symmetry_Int_Tables_number 139
_symmetry_space_group_name_Hall '-I 4 2'
_cell_length_a 3.8227
_cell_length_b 3.8227
_cell_length_c 21.0168
_cell_angle_alpha 90.00
_cell_angle_beta 90.00
_cell_angle_gamma 90.00
loop_
_atom_site_label
_atom_site_fract_x
_atom_site_fract_y
_atom_site_fract_z
Ca1 0.0000 0.0000 0.0000
Ca2 0.0000 0.0000 0.1486
Cu1 0.0000 0.0000 0.4292
Cl1 0.0000 0.0000 0.2972
O1 0.0000 0.5000 0.0754
```

## Properties
electronic total energy	-11.325	eV per atom
raw formation energy	-2.209	eV per atom
magnetic moment	0.000	Bohr magnetons per cell

Entry 2:
Here is a PBEsol-optimized structure of CaSmCuClO3 from Alexandria via LeMat-Bulk. Energies are from SCAN.

```
data_CaSmCuClO3
_chemical_formula_sum 'Ca2 Sm2 Cu2 Cl2 O6'
_symmetry_space_group_name_H-M 'P 4/n m m'
_symmetry_Int_Tables_number 129
_cell_length_a 3.8600
_cell_length_b 3.8600
_cell_length_c 13.3138
_cell_angle_alpha 90.00
_cell_angle_beta 90.00
_cell_angle_gamma 90.00
loop_
_symmetry_equiv_pos_as_xyz
'x,y,z'
'-x,-y,-z'
'-y+1/2,x,z'
'y+1/2,-x,-z'
'-x+1/2,-y+1/2,z'
'x+1/2,y+1/2,-z'
'y,-x+1/2,z'
'-y,x+1/2,-z'
'x+1/2,-y,-z'
'-x+1/2,y,z'
'-y,-x,-z'
'y,x,z'
'-x,y+1/2,-z'
'x,-y+1/2,z'
'y+1/2,x+1/2,-z'
'-y+1/2,-x+1/2,z'
loop_
_atom_site_label
_atom_site_fract_x
_atom_site_fract_y
_atom_site_fract_z
Ca1 0.2500 0.2500 0.1599
Sm1 0.2500 0.2500 0.4099
Cu1 0.2500 0.2500 0.7231
Cl1 0.2500 0.2500 0.9265
O1 0.2500 0.7500 0.2738
O2 0.2500 0.7500 0.5000
```

## Properties
electronic total energy	-16.334	eV per atom
raw formation energy	-2.623	eV per atom
magnetic moment	0.000	Bohr magnetons per cell

Entry 3:
Here is a PBEsol-optimized structure of Ca4Sm2Cu3Cl4O8 from Alexandria via LeMat-Bulk. Energies are from SCAN.

```
data_Ca4Sm2Cu3Cl4O8
_chemical_formula_sum 'Ca8 Sm4 Cu6 Cl8 O16'
_symmetry_space_group_name_H-M 'I 4/m m m'
_symmetry_Int_Tables_number 139
_symmetry_space_group_name_Hall '-I 4 2'
_cell_length_a 3.8513
_cell_length_b 3.8513
_cell_length_c 41.4000
_cell_angle_alpha 90.00
_cell_angle_beta 90.00
_cell_angle_gamma 90.00
loop_
_atom_site_label
_atom_site_fract_x
_atom_site_fract_y
_atom_site_fract_z
Ca1 0.0000 0.0000 0.0377
Ca2 0.0000 0.0000 0.3593
Sm1 0.0000 0.0000 0.2790
Cu1 0.0000 0.0000 0.1782
Cu2 0.0000 0.0000 0.5000
Cl1 0.0000 0.0000 0.1123
Cl2 0.0000 0.0000 0.4349
O1 0.0000 0.5000 0.0000
O2 0.0000 0.5000 0.1771
O3 0.0000 0.5000 0.2500
```

## Properties
electronic total energy	-14.655	eV per atom
raw formation energy	-2.517	eV per atom
magnetic moment	0.000	Bohr magnetons per cell

Entry 4:
Here is a PBEsol-optimized structure of CaClF2 from Alexandria via LeMat-Bulk. Energies are from SCAN.

```
data_CaClF2
_chemical_formula_sum 'Ca4 Cl4 F8'
_symmetry_space_group_name_H-M 'C 1 m 1'
_symmetry_Int_Tables_number 8
_symmetry_space_group_name_Hall 'C -2y'
_cell_length_a 11.4610
_cell_length_b 4.2910
_cell_length_c 7.6321
_cell_angle_alpha 90.00
_cell_angle_beta 122.35
_cell_angle_gamma 90.00
loop_
_atom_site_label
_atom_site_fract_x
_atom_site_fract_y
_atom_site_fract_z
Ca1 0.0000 0.0000 0.0000
Ca2 0.2113 0.0000 0.6587
Cl1 0.2803 0.5000 0.1409
Cl2 0.4074 0.5000 0.4542
F1 0.0837 0.0000 0.7996
F2 0.1336 0.0000 0.3318
F3 0.2681 0.5000 0.7361
F4 0.4354 0.0000 0.9292
```

## Properties
electronic total energy	-9.161	eV per atom
raw formation energy	-2.981	eV per atom
magnetic moment	0.000	Bohr magnetons per cell

Entry 5:
Here is a PBEsol-optimized structure of CaClF from Alexandria via LeMat-Bulk. Energies are from SCAN.

```
data_CaClF
_chemical_formula_sum 'Ca2 Cl2 F2'
_symmetry_space_group_name_H-M 'P 4/n m m'
_symmetry_Int_Tables_number 129
_cell_length_a 3.8443
_cell_length_b 3.8443
_cell_length_c 6.7664
_cell_angle_alpha 90.00
_cell_angle_beta 90.00
_cell_angle_gamma 90.00
loop_
_symmetry_equiv_pos_as_xyz
'x,y,z'
'-x,-y,-z'
'-y+1/2,x,z'
'y+1/2,-x,-z'
'-x+1/2,-y+1/2,z'
'x+1/2,y+1/2,-z'
'y,-x+1/2,z'
'-y,x+1/2,-z'
'x+1/2,-y,-z'
'-x+1/2,y,z'
'-y,-x,-z'
'y,x,z'
'-x,y+1/2,-z'
'x,-y+1/2,z'
'y+1/2,x+1/2,-z'
'-y+1/2,-x+1/2,z'
loop_
_atom_site_label
_atom_site_fract_x
_atom_site_fract_y
_atom_site_fract_z
Ca1 0.2500 0.2500 0.1962
Cl1 0.2500 0.2500 0.6435
F1 0.2500 0.7500 0.0000
```

## Properties
electronic total energy	-10.522	eV per atom
raw formation energy	-3.462	eV per atom
magnetic moment	0.000	Bohr magnetons per cell

Entry 6:
Here is a PBEsol-optimized structure of CaN2ClF from Alexandria via LeMat-Bulk. Energies are from SCAN.

```
data_CaN2ClF
_chemical_formula_sum 'Ca1 N2 Cl1 F1'
_symmetry_space_group_name_H-M 'P 4/m m m'
_symmetry_Int_Tables_number 123
_symmetry_space_group_name_Hall '-P 4 2'
_cell_length_a 3.5840
_cell_length_b 3.5840
_cell_length_c 4.8191
_cell_angle_alpha 90.00
_cell_angle_beta 90.00
_cell_angle_gamma 90.00
loop_
_atom_site_label
_atom_site_fract_x
_atom_site_fract_y
_atom_site_fract_z
Ca1 0.0000 0.0000 0.0000
N1 0.0000 0.5000 0.5000
Cl1 0.5000 0.5000 0.5000
F1 0.5000 0.5000 0.0000
```

## Properties
electronic total energy	-7.525	eV per atom
raw formation energy	0.428	eV per atom
magnetic moment	0.403	Bohr magnetons per cell

Entry 7:
Here is a PBEsol-optimized structure of CaSCl2F from Alexandria via LeMat-Bulk. Energies are from SCAN.

```
data_CaSCl2F
_chemical_formula_sum 'Ca1 S1 Cl2 F1'
_symmetry_space_group_name_H-M 'P 4/m m m'
_symmetry_Int_Tables_number 123
_symmetry_space_group_name_Hall '-P 4 2'
_cell_length_a 5.2014
_cell_length_b 5.2014
_cell_length_c 3.7098
_cell_angle_alpha 90.00
_cell_angle_beta 90.00
_cell_angle_gamma 90.00
loop_
_atom_site_label
_atom_site_fract_x
_atom_site_fract_y
_atom_site_fract_z
Ca1 0.0000 0.0000 0.0000
S1 0.5000 0.5000 0.0000
Cl1 0.0000 0.5000 0.5000
F1 0.5000 0.5000 0.5000
```

## Properties
electronic total energy	-8.798	eV per atom
raw formation energy	-1.041	eV per atom
magnetic moment	1.006	Bohr magnetons per cell

Entry 8:
Here is a PBEsol-optimized structure of CaTa2ClF from Alexandria via LeMat-Bulk. Energies are from SCAN.

```
data_CaTa2ClF
_chemical_formula_sum 'Ca1 Ta2 Cl1 F1'
_symmetry_space_group_name_H-M 'P 4/m m m'
_symmetry_Int_Tables_number 123
_symmetry_space_group_name_Hall '-P 4 2'
_cell_length_a 5.2490
_cell_length_b 5.2490
_cell_length_c 4.9177
_cell_angle_alpha 90.00
_cell_angle_beta 90.00
_cell_angle_gamma 90.00
loop_
_atom_site_label
_atom_site_fract_x
_atom_site_fract_y
_atom_site_fract_z
Ca1 0.0000 0.0000 0.0000
Ta1 0.0000 0.5000 0.0000
Cl1 0.0000 0.0000 0.5000
F1 0.5000 0.5000 0.5000
```

## Properties
electronic total energy	-29.019	eV per atom
raw formation energy	1.851	eV per atom
magnetic moment	4.338	Bohr magnetons per cell

Entry 9:
Here is a PBEsol-optimized structure of CaFeS2Cl from Alexandria via LeMat-Bulk. Energies are from SCAN.

```
data_CaFeS2Cl
_chemical_formula_sum 'Ca1 Fe1 S2 Cl1'
_symmetry_space_group_name_H-M 'P 4/m m m'
_symmetry_Int_Tables_number 123
_symmetry_space_group_name_Hall '-P 4 2'
_cell_length_a 5.1415
_cell_length_b 5.1415
_cell_length_c 4.9679
_cell_angle_alpha 90.00
_cell_angle_beta 90.00
_cell_angle_gamma 90.00
loop_
_atom_site_label
_atom_site_fract_x
_atom_site_fract_y
_atom_site_fract_z
Ca1 0.0000 0.0000 0.0000
Fe1 0.5000 0.5000 0.5000
S1 0.0000 0.5000 0.0000
Cl1 0.0000 0.0000 0.5000
```

## Properties
electronic total energy	-11.041	eV per atom
raw formation energy	-0.035	eV per atom
magnetic moment	4.885	Bohr magnetons per cell

Entry 10:
Here is a PBEsol-optimized structure of CaGa3Cl from Alexandria via LeMat-Bulk. Energies are from SCAN.

```
data_CaGa3Cl
_chemical_formula_sum 'Ca1 Ga3 Cl1'
_symmetry_space_group_name_H-M 'P m -3 m'
_symmetry_Int_Tables_number 221
_symmetry_space_group_name_Hall '-P 4 2 3'
_cell_length_a 5.1013
_cell_length_b 5.1013
_cell_length_c 5.1013
_cell_angle_alpha 90.00
_cell_angle_beta 90.00
_cell_angle_gamma 90.00
loop_
_atom_site_label
_atom_site_fract_x
_atom_site_fract_y
_atom_site_fract_z
Ca1 0.0000 0.0000 0.0000
Ga1 0.0000 0.5000 0.5000
Cl1 0.5000 0.5000 0.5000
```

## Properties
electronic total energy	-13.254	eV per atom
raw formation energy	0.082	eV per atom
magnetic moment	0.000	Bohr magnetons per cell

- The lowest electronic total energy belongs to which entry?
  CaTa2ClF

- The highest magnetic moment belongs to which entry?
  CaFeS2Cl

- Which of these has the lowest electronic total energy?
  CaTa2ClF

- Look up the raw formation energy of the fifth one.
  -3.462 eV per atom